<w>
4
Lattice="3.271 0.000 0.000 0.000 3.271 0.000 0.000 0.000 6.313" Properties=species:S:1:pos:R:3 comment="MgAsW2 | Alexandria | PBE-GGA | relaxed" vol_a3_per_atom=16.89 sg=P4mm dos_at_fermi_per_ev_atom=0.5715 pbc="T T T"
W 0.000 0.000 0.156
W 1.636 1.636 1.571
Mg 1.636 1.636 4.736
As 0.000 0.000 3.006

***

<x>
4
Lattice="3.073 0.000 0.000 0.000 3.073 0.000 0.000 0.000 7.220" Properties=species:S:1:pos:R:3 comment="MgAsW2 | Alexandria | PBE-GGA | relaxed" vol_a3_per_atom=17.05 sg=P4/mmm dos_at_fermi_per_ev_atom=0.8290 pbc="T T T"
As 1.537 1.537 1.805
W 0.000 0.000 3.260
W 0.000 0.000 0.349
Mg 1.537 1.537 5.415

***

<y>
4
Lattice="-4.698 -0.713 0.309 -3.537 -0.737 3.101 -1.607 4.608 0.708" Properties=species:S:1:pos:R:3 comment="MgAsW2 | Alexandria | PBE-GGA | relaxed" vol_a3_per_atom=16.49 sg=Cm dos_at_fermi_per_ev_atom=0.6421 pbc="T T T"
W -1.591 4.561 0.701
W -7.463 2.326 3.122
Mg -2.413 0.807 1.010
As -4.902 1.651 2.052

***

<z>
4
Lattice="-2.723 -0.003 0.860 1.209 -2.535 0.517 2.499 2.808 7.920" Properties=species:S:1:pos:R:3 comment="MgAsW2 | Alexandria | PBE-GGA | relaxed" vol_a3_per_atom=16.75 sg=Cmmm dos_at_fermi_per_ev_atom=0.5642 pbc="T T T"
W 0.053 0.060 0.169
W 1.196 1.344 3.791
As -0.132 -0.567 2.669
Mg 1.117 0.837 6.629

***

Which of them is most stable? Easy: <w>.

***

<w>
4
Lattice="-2.746 -2.593 2.601 0.018 -1.999 -1.973 4.169 -2.377 2.031" Properties=species:S:1:pos:R:3 comment="MgAsW2 | Alexandria | PBE-GGA | relaxed" vol_a3_per_atom=16.75 sg=P2/m dos_at_fermi_per_ev_atom=0.6140 pbc="T T T"
Mg 1.767 -4.578 1.344
As -0.326 -2.390 1.315
W 4.143 -2.584 1.797
W 2.119 -1.980 0.264

***

<x>
4
Lattice="-6.972 -1.711 5.213 -5.666 -4.512 5.124 -4.666 -2.404 7.153" Properties=species:S:1:pos:R:3 comment="MgAsW2 | Alexandria | PBE-GGA | relaxed" vol_a3_per_atom=17.98 sg=R3m dos_at_fermi_per_ev_atom=0.9447 pbc="T T T"
W -17.158 -8.554 17.343
W -4.344 -2.166 4.391
Mg -12.949 -6.456 13.089
As -8.808 -4.391 8.903

***

<y>
4
Lattice="-2.682 4.517 -0.708 -2.079 0.756 -4.817 0.069 -3.158 4.257" Properties=species:S:1:pos:R:3 comment="MgAsW2 | Alexandria | PBE-GGA | relaxed" vol_a3_per_atom=16.51 sg=Immm dos_at_fermi_per_ev_atom=0.6688 pbc="T T T"
W -2.290 2.536 -2.657
W -0.091 0.101 -0.105
Mg -2.497 1.998 0.393
As -2.196 0.117 -1.661

***

Which of them is most stable? Easy: <x>.

***

<w>
4
Lattice="-2.145 1.219 1.440 1.014 -2.232 1.466 5.906 5.437 4.192" Properties=species:S:1:pos:R:3 comment="MgAsW2 | Alexandria | PBE-GGA | relaxed" vol_a3_per_atom=17.37 sg=Cmm2 dos_at_fermi_per_ev_atom=0.5632 pbc="T T T"
W 0.082 0.075 0.058
W 0.894 0.837 2.489
As 2.836 2.610 2.013
Mg 3.917 3.620 4.635

***

<x>
4
Lattice="4.377 0.000 0.000 0.000 2.876 -0.001 0.000 0.505 5.370" Properties=species:S:1:pos:R:3 comment="MgAsW2 | Alexandria | PBE-GGA | relaxed" vol_a3_per_atom=16.91 sg=Pm dos_at_fermi_per_ev_atom=0.7354 pbc="T T T"
Mg 2.189 2.517 3.925
As 0.000 1.030 2.825
W 0.000 0.338 0.064
W 2.189 1.186 1.240

***

<y>
8
Lattice="-3.510 -1.356 -0.571 0.236 -1.978 3.243 -5.339 5.869 6.202" Properties=species:S:1:pos:R:3 comment="MgAsW2 | Alexandria | PBE-GGA | relaxed" vol_a3_per_atom=17.57 sg=I-42d dos_at_fermi_per_ev_atom=0.3746 pbc="T T T"
As 0.000 0.000 0.000
As -5.243 1.423 3.484
Mg -3.370 1.112 5.391
Mg -1.637 -1.667 1.336
W -3.474 0.383 1.603
W -6.871 1.499 6.966
W -1.651 0.052 3.502
W -5.231 3.137 5.677

***

Which of them is most stable? Easy: <w>.

***

<w>
4
Lattice="-3.001 -1.228 8.295 -1.053 -3.483 8.129 -0.112 -0.750 8.874" Properties=species:S:1:pos:R:3 comment="MgAsW2 | Alexandria | PBE-GGA | relaxed" vol_a3_per_atom=16.86 sg=R-3m dos_at_fermi_per_ev_atom=0.7301 pbc="T T T"
W -4.131 -5.414 25.084
W -2.119 -2.777 12.865
As -1.042 -1.365 6.325
Mg -3.125 -4.095 18.974

***

<x>
4
Lattice="2.752 0.000 0.000 0.000 4.520 0.000 0.000 0.000 5.405" Properties=species:S:1:pos:R:3 comment="MgAsW2 | Alexandria | PBE-GGA | relaxed" vol_a3_per_atom=16.81 sg=Pmmm dos_at_fermi_per_ev_atom=0.8215 pbc="T T T"
Mg 1.376 2.260 4.054
W 0.000 0.000 2.726
W 0.000 0.000 5.382
As 1.376 2.260 1.351

***

Which of them is most stable? Easy: <w>.